(1)
VASP calculation (PBE-GGA) on a geometry-optimized Ac4YEr3Se8 structure.

Summary:
The calculation puts the density of states at the Fermi level at 0.426 states/eV per atom. Its total energy is -5.814 eV/atom.

Cell and atoms, written as CIF:
```
data_Ac4YEr3Se8
_cell_length_a 8.2498
_cell_length_b 8.2498
_cell_length_c 22.2430
_cell_angle_alpha 90.00
_cell_angle_beta 90.00
_cell_angle_gamma 120.00
_space_group_name_H-M_alt 'R -3 m'
_space_group_IT_number 166
_space_group_name_Hall '-R 3 2"'
loop_
_atom_site_label
_atom_site_fract_x
_atom_site_fract_y
_atom_site_fract_z
Ac1 0.0000 0.0000 0.0000
Ac2 0.0000 0.5000 0.0000
Y1 0.0000 0.0000 0.5000
Er1 0.0000 0.5000 0.5000
Se1 0.0000 0.0000 0.2382
Se2 0.0025 0.5012 0.7613
```

***

(2)
VASP calculation (PBE-GGA) on a geometry-optimized Ac3Y3ErSe8 structure.

Summary:
The calculation puts the density of states at the Fermi level at 0.489 states/eV per atom. Its total energy is -6.136 eV/atom.

Cell and atoms, written as CIF:
```
data_Ac3Y3ErSe8
_cell_length_a 8.3664
_cell_length_b 8.3664
_cell_length_c 21.4615
_cell_angle_alpha 90.00
_cell_angle_beta 90.00
_cell_angle_gamma 120.00
_space_group_name_H-M_alt 'R -3 m'
_space_group_IT_number 166
_space_group_name_Hall '-R 3 2"'
loop_
_atom_site_label
_atom_site_fract_x
_atom_site_fract_y
_atom_site_fract_z
Ac1 0.0000 0.5000 0.0000
Y1 0.0000 0.5000 0.5000
Er1 0.0000 0.0000 0.5000
Se1 0.0000 0.0000 0.2408
Se2 0.0015 0.5008 0.7584
```

***

(3)
VASP calculation (PBE-GGA) on a geometry-optimized Ac3YEr3Se8 structure.

Summary:
The calculation puts the density of states at the Fermi level at 0.490 states/eV per atom. Its total energy is -5.867 eV/atom.

Cell and atoms, written as CIF:
```
data_Ac3YEr3Se8
_cell_length_a 8.3119
_cell_length_b 8.3119
_cell_length_c 21.4268
_cell_angle_alpha 90.00
_cell_angle_beta 90.00
_cell_angle_gamma 120.00
_space_group_name_H-M_alt 'R -3 m'
_space_group_IT_number 166
_space_group_name_Hall '-R 3 2"'
loop_
_atom_site_label
_atom_site_fract_x
_atom_site_fract_y
_atom_site_fract_z
Ac1 0.0000 0.5000 0.0000
Y1 0.0000 0.0000 0.5000
Er1 0.0000 0.5000 0.5000
Se1 0.0000 0.0000 0.2393
Se2 0.0084 0.5042 0.7584
```

***

(4)
VASP calculation (PBE-GGA) on a geometry-optimized AcY2ErSe6 structure.

Summary:
The calculation puts the density of states at the Fermi level at 0.000 states/eV per atom. Its total energy is -6.131 eV/atom.

Cell and atoms, written as CIF:
```
data_AcY2ErSe6
_cell_length_a 7.3705
_cell_length_b 7.3705
_cell_length_c 19.5398
_cell_angle_alpha 90.00
_cell_angle_beta 90.00
_cell_angle_gamma 120.00
_space_group_name_H-M_alt 'R 3'
_space_group_IT_number 146
_space_group_name_Hall 'R 3'
loop_
_atom_site_label
_atom_site_fract_x
_atom_site_fract_y
_atom_site_fract_z
Ac1 0.0000 0.0000 0.0000
Y1 0.0000 0.0000 0.2871
Y2 0.0000 0.0000 0.7948
Er1 0.0000 0.0000 0.4861
Se1 0.0011 0.3117 0.8864
Se2 0.0238 0.6239 0.0541
```

***

(5)
VASP calculation (PBE-GGA) on a geometry-optimized AcYEr2Se4 structure.

Summary:
The calculation puts the density of states at the Fermi level at 0.495 states/eV per atom. Its total energy is -5.929 eV/atom.

Cell and atoms, written as CIF:
```
data_AcYEr2Se4
_cell_length_a 7.1176
_cell_length_b 4.0759
_cell_length_c 7.4238
_cell_angle_alpha 90.00
_cell_angle_beta 108.41
_cell_angle_gamma 90.00
_space_group_name_H-M_alt 'P 1 2/m 1'
_space_group_IT_number 10
loop_
_space_group_symop_operation_xyz
'x,y,z'
'-x,-y,-z'
'-x,y,-z'
'x,-y,z'
loop_
_atom_site_label
_atom_site_fract_x
_atom_site_fract_y
_atom_site_fract_z
Ac1 0.0000 0.0000 0.0000
Y1 0.5000 0.5000 0.0000
Er1 0.0000 0.5000 0.5000
Er2 0.5000 0.0000 0.5000
Se1 0.2553 0.0000 0.7346
Se2 0.2688 0.5000 0.2742
```

***

(6)
VASP calculation (PBE-GGA) on a geometry-optimized Ac5ErSi4 structure.

Summary:
The calculation puts the density of states at the Fermi level at 0.722 states/eV per atom. Its total energy is -5.025 eV/atom.

Cell and atoms, written as CIF:
```
data_Ac5ErSi4
_cell_length_a 4.5031
_cell_length_b 8.2047
_cell_length_c 18.9563
_cell_angle_alpha 90.00
_cell_angle_beta 90.00
_cell_angle_gamma 90.00
_space_group_name_H-M_alt 'I m m m'
_space_group_IT_number 71
_space_group_name_Hall '-I 2 2'
loop_
_atom_site_label
_atom_site_fract_x
_atom_site_fract_y
_atom_site_fract_z
Ac1 0.0000 0.0000 0.0000
Ac2 0.0000 0.2496 0.3384
Er1 0.0000 0.5000 0.0000
Si1 0.0000 0.2279 0.5000
Si2 0.0000 0.5000 0.1950
```